Material: ScPbI
Method: DFT, PBE-GGA
State: relaxed

Output
Its final energy is -4.342 eV/atom. The formation energy from raw total energies comes out at -478.5 meV per atom.

```
data_ScPbI
_space_group_name_H-M_alt 'P -1'
_space_group_IT_number 2
_cell_length_a 3.8320
_cell_length_b 6.9440
_cell_length_c 8.3328
_cell_angle_alpha 101.20
_cell_angle_beta 90.05
_cell_angle_gamma 90.55
loop_
_space_group_symop_operation_xyz
'x,y,z'
'-x,-y,-z'
loop_
_atom_site_label
_atom_site_fract_x
_atom_site_fract_y
_atom_site_fract_z
Sc1 0.2501 0.0118 0.2135
Pb1 0.2535 0.1861 0.5705
I1 0.2455 0.7238 0.9008
```


Material: ScPbI2
Method: DFT, PBE-GGA
State: relaxed

Output
Its final energy is -3.699 eV/atom. The formation energy from raw total energies comes out at -413.8 meV per atom.

```
data_ScPbI2
_space_group_name_H-M_alt 'I -4 2 d'
_space_group_IT_number 122
_space_group_name_Hall 'I -4 2bw'
_cell_length_a 10.3760
_cell_length_b 10.3760
_cell_length_c 5.9845
_cell_angle_alpha 90.00
_cell_angle_beta 90.00
_cell_angle_gamma 90.00
loop_
_atom_site_label
_atom_site_fract_x
_atom_site_fract_y
_atom_site_fract_z
Sc1 0.0000 0.0000 0.0000
Pb1 0.0000 0.0000 0.5000
I1 0.1047 0.2500 0.1250
```


Material: ScPb3I
Method: DFT, PBE-GGA
State: relaxed

Output
Its final energy is -3.006 eV/atom. The formation energy from raw total energies comes out at 795.5 meV per atom.

```
data_ScPb3I
_space_group_name_H-M_alt 'P m -3 m'
_space_group_IT_number 221
_space_group_name_Hall '-P 4 2 3'
_cell_length_a 5.9213
_cell_length_b 5.9213
_cell_length_c 5.9213
_cell_angle_alpha 90.00
_cell_angle_beta 90.00
_cell_angle_gamma 90.00
loop_
_atom_site_label
_atom_site_fract_x
_atom_site_fract_y
_atom_site_fract_z
Sc1 0.0000 0.0000 0.0000
Pb1 0.0000 0.5000 0.5000
I1 0.5000 0.5000 0.5000
```


Material: Sc2Pb2I
Method: DFT, PBE-GGA
State: relaxed

Output
Its final energy is -4.694 eV/atom. The formation energy from raw total energies comes out at -368.4 meV per atom.

```
data_Sc2Pb2I
_space_group_name_H-M_alt 'P 4/m b m'
_space_group_IT_number 127
_space_group_name_Hall '-P 4 2ab'
_cell_length_a 8.0540
_cell_length_b 8.0540
_cell_length_c 4.1908
_cell_angle_alpha 90.00
_cell_angle_beta 90.00
_cell_angle_gamma 90.00
loop_
_atom_site_label
_atom_site_fract_x
_atom_site_fract_y
_atom_site_fract_z
Sc1 0.1688 0.3312 0.0000
Pb1 0.1315 0.6315 0.5000
I1 0.0000 0.0000 0.0000
```


Material: ScTcPb2I
Method: DFT, PBE-GGA
State: relaxed

Output
Its final energy is -5.101 eV/atom. The formation energy from raw total energies comes out at 31.8 meV per atom.

```
data_ScTcPb2I
_space_group_name_H-M_alt 'P 4/m m m'
_space_group_IT_number 123
_space_group_name_Hall '-P 4 2'
_cell_length_a 5.3822
_cell_length_b 5.3822
_cell_length_c 5.0695
_cell_angle_alpha 90.00
_cell_angle_beta 90.00
_cell_angle_gamma 90.00
loop_
_atom_site_label
_atom_site_fract_x
_atom_site_fract_y
_atom_site_fract_z
Sc1 0.0000 0.0000 0.0000
Tc1 0.0000 0.0000 0.5000
Pb1 0.0000 0.5000 0.5000
I1 0.5000 0.5000 0.0000
```


Material: ScTlPbI6
Method: DFT, PBE-GGA
State: relaxed

Output
Its final energy is -3.315 eV/atom. The formation energy from raw total energies comes out at -903.1 meV per atom.

```
data_ScTlPbI6
_space_group_name_H-M_alt 'P -3 1 c'
_space_group_IT_number 163
_space_group_name_Hall '-P 3 2c'
_cell_length_a 7.9729
_cell_length_b 7.9729
_cell_length_c 14.9423
_cell_angle_alpha 90.00
_cell_angle_beta 90.00
_cell_angle_gamma 120.00
loop_
_atom_site_label
_atom_site_fract_x
_atom_site_fract_y
_atom_site_fract_z
Sc1 0.3333 0.6667 0.2500
Tl1 0.0000 0.0000 0.0000
Pb1 0.3333 0.6667 0.7500
I1 0.0311 0.3796 0.1348
```